VASP calculation (GGA-PBE) on a relaxed Rb3Np2Te6Rh crystal.

- M_tot (μB per formula unit) = 8.014
- formation energy (no corrections) (eV/atom) = -0.715

Lattice parameters (Å, degrees): 7.6523 7.6523 8.8943 98.34 98.34 120.18
Last column: nearest neighbours and their distance in Å.
Fractional coordinates of all 12 atoms:
Rb 0.0000 0.0000 0.0000  6 Te 3.61-3.85
Rb 0.3256 0.6744 0.0000  6 Te 3.63-3.78
Rb 0.6744 0.3256 0.0000  6 Te 3.63-3.78
Np 0.1656 0.8344 0.5000  6 Te 3.11-3.12
Np 0.8344 0.1656 0.5000  6 Te 3.11-3.12
Te 0.1347 0.4381 0.3132  1 Rh 2.81, 2 Np 3.11-3.12
Te 0.2619 0.2619 0.6900  1 Rh 2.82, 2 Np 3.12
Te 0.4381 0.1347 0.3132  1 Rh 2.81, 2 Np 3.11-3.12
Te 0.5619 0.8653 0.6868  1 Rh 2.81, 2 Np 3.11-3.12
Te 0.7381 0.7381 0.3100  1 Rh 2.82, 2 Np 3.12
Te 0.8653 0.5619 0.6868  1 Rh 2.81, 2 Np 3.11-3.12
Rh 0.5000 0.5000 0.5000  6 Te 2.81-2.82